# 1
Compound: Sc2InO
Source: Alexandria
Functional: PBE-GGA
Structure: optimized geometry

abc: 8.650 8.650 8.650
angles: 23.63 23.63 23.63
Atoms (fractional coordinates):
Sc 0.926 0.926 0.926
Sc 0.074 0.074 0.074
O 0.000 0.000 0.000
In 0.500 0.500 0.500

- DFT total energy: -25.2 eV per cell


# 2
Compound: Sc4In2O
Source: Alexandria
Functional: PBE-GGA
Structure: optimized geometry

abc: 4.355 4.355 8.259
angles: 74.71 74.71 90.00
Atoms (fractional coordinates):
Sc 0.160 0.160 0.680
Sc 0.840 0.840 0.320
Sc 0.000 0.500 0.000
Sc 0.500 0.000 0.000
O 0.000 0.000 0.000
In 0.358 0.358 0.284
In 0.642 0.642 0.716

- DFT total energy: -43.5 eV per cell


# 3
Compound: ScInO2
Source: Alexandria
Functional: PBE-GGA
Structure: optimized geometry

abc: 6.893 6.893 6.893
angles: 26.48 26.48 26.48
Atoms (fractional coordinates):
Sc 0.500 0.500 0.500
O 0.887 0.887 0.887
O 0.113 0.113 0.113
In 0.000 0.000 0.000

- DFT total energy: -28.7 eV per cell


# 4
Compound: ScIn2O
Source: Alexandria
Functional: PBE-GGA
Structure: optimized geometry

abc: 10.021 10.021 7.354
angles: 47.05 47.05 90.00
Atoms (fractional coordinates):
Sc 0.000 0.000 0.000
Sc 0.750 0.250 0.500
O 0.500 0.500 0.000
O 0.250 0.750 0.500
In 0.503 0.125 0.250
In 0.247 0.625 0.250
In 0.375 0.497 0.750
In 0.875 0.753 0.750

- DFT total energy: -40.6 eV per cell


# 5
Compound: ScInO2
Source: Alexandria
Functional: PBE-GGA
Structure: optimized geometry

abc: 4.190 4.190 4.190
angles: 60.00 60.00 60.00
Atoms (fractional coordinates):
Sc 0.000 0.000 0.000
O 0.250 0.250 0.250
O 0.750 0.750 0.750
In 0.500 0.500 0.500

- DFT total energy: -24.3 eV per cell


# 6
Compound: Sc2InO
Source: Alexandria
Functional: PBE-GGA
Structure: optimized geometry

abc: 6.523 6.523 5.966
angles: 56.86 56.86 90.00
Atoms (fractional coordinates):
Sc 0.503 0.125 0.250
Sc 0.247 0.625 0.250
Sc 0.375 0.497 0.750
Sc 0.875 0.753 0.750
O 0.500 0.500 0.000
O 0.250 0.750 0.500
In 0.000 0.000 0.000
In 0.750 0.250 0.500

- DFT total energy: -52.7 eV per cell


# 7
Compound: Sc2In4O9
Source: Alexandria
Functional: PBE-GGA
Structure: optimized geometry

abc: 5.502 5.502 14.713
angles: 90.00 90.00 60.00
Atoms (fractional coordinates):
Sc 0.000 0.000 0.355
Sc 0.000 0.000 0.145
Sc 0.000 0.000 0.645
Sc 0.000 0.000 0.855
In 0.333 0.333 0.977
In 0.333 0.333 0.477
In 0.667 0.667 0.023
In 0.333 0.333 0.190
In 0.667 0.667 0.523
In 0.666 0.667 0.310
In 0.334 0.333 0.690
In 0.667 0.667 0.810
O 0.000 0.289 0.750
O 0.289 0.711 0.750
O 0.712 0.000 0.750
O 0.000 0.711 0.250
O 0.711 0.289 0.250
O 0.288 0.000 0.250
O 0.676 0.964 0.416
O 0.964 0.359 0.416
O 0.359 0.677 0.416
O 0.641 0.036 0.084
O 0.323 0.641 0.084
O 0.036 0.323 0.084
O 0.324 0.036 0.584
O 0.036 0.641 0.584
O 0.641 0.323 0.584
O 0.359 0.964 0.916
O 0.677 0.359 0.916
O 0.964 0.677 0.916

- DFT total energy: -202.2 eV per cell


# 8
Compound: Sc2InO
Source: Alexandria
Functional: PBE-GGA
Structure: optimized geometry

abc: 8.522 8.522 8.522
angles: 22.11 22.11 22.11
Atoms (fractional coordinates):
Sc 0.881 0.881 0.881
Sc 0.119 0.119 0.119
O 0.500 0.500 0.500
In 0.000 0.000 0.000

- DFT total energy: -25.6 eV per cell


The ΔE_f (raw) results, record by record, are as follows: -1219, -1108, -2440, -888, -1332, -1500, -2189, -1304 meV per atom.